TeMoPtO2 | PBE with a Hubbard U | relaxed

Properties
- crystal system = tetragonal
- total DFT energy (no corrections) (eV/atom) = -5.233

Cell: 4.1051 4.1051 5.1839 Å, 90.00 90.00 90.00°
Fractional coordinates of all 5 atoms:
Te: 0.0000 0.0000 0.0000
Mo: 0.5000 0.5000 0.5000
Pt: 0.0000 0.0000 0.5000
O: 0.0000 0.5000 0.0000
O: 0.5000 0.0000 0.0000